# EuSbH GGA-PBE optimized geometry
data_EuSbH
_chemical_formula_sum 'Eu1 Sb1 H1'
_cell_length_a 3.7726
_cell_length_b 3.7726
_cell_length_c 5.2392
_cell_angle_alpha 90.00
_cell_angle_beta 90.00
_cell_angle_gamma 120.00
_symmetry_space_group_name_H-M 'P -6 m 2'
_symmetry_Int_Tables_number 187
_symmetry_space_group_name_Hall 'P -6 2'
loop_
_atom_site_label
_atom_site_type_symbol
_atom_site_fract_x
_atom_site_fract_y
_atom_site_fract_z
_atom_site_occupancy
Eu1 Eu 0.0000 0.0000 0.0000 1
Sb1 Sb 0.6667 0.3333 0.5000 1
H1 H 0.3333 0.6667 0.0000 1
# - distance to the lowest polymorph of the same formula (meV/atom) = 30
# - DOS at the Fermi energy (states/eV per atom) = 2.8615
# - calculated total energy (eV per cell) = -19.3
# - size of the total moment (μB/atom) = 2.225
# - crystal system = hexagonal


# Eu2SbH GGA-PBE optimized geometry
data_Eu2SbH
_chemical_formula_sum 'Eu6 Sb3 H3'
_cell_length_a 4.6582
_cell_length_b 4.6582
_cell_length_c 17.0292
_cell_angle_alpha 90.00
_cell_angle_beta 90.00
_cell_angle_gamma 120.00
_symmetry_space_group_name_H-M 'R -3 m'
_symmetry_Int_Tables_number 166
_symmetry_space_group_name_Hall '-R 3 2"'
loop_
_atom_site_label
_atom_site_type_symbol
_atom_site_fract_x
_atom_site_fract_y
_atom_site_fract_z
_atom_site_occupancy
Eu1 Eu 0.0000 0.0000 0.2351 1
Sb1 Sb 0.0000 0.0000 0.0000 1
H1 H 0.0000 0.0000 0.5000 1
# - distance to the lowest polymorph of the same formula (meV/atom) = 0
# - DOS at the Fermi energy (states/eV per atom) = 4.2757
# - calculated total energy (eV per cell) = -91.7
# - size of the total moment (μB/atom) = 3.500
# - crystal system = trigonal


# EuSbH GGA-PBE optimized geometry
data_EuSbH
_chemical_formula_sum 'Eu4 Sb4 H4'
_cell_length_a 11.734
_cell_length_b 4.046
_cell_length_c 7.663
_cell_angle_alpha 90.00
_cell_angle_beta 129.73
_cell_angle_gamma 90.00
_symmetry_space_group_name_H-M 'C 1 2/m 1'
_symmetry_Int_Tables_number 12
_symmetry_space_group_name_Hall '-C 2y'
loop_
_atom_site_label
_atom_site_type_symbol
_atom_site_fract_x
_atom_site_fract_y
_atom_site_fract_z
_atom_site_occupancy
Eu1 Eu 0.073 0.000 0.337 1
Sb1 Sb 0.232 0.500 0.845 1
H1 H 0.173 0.500 0.371 1
# - distance to the lowest polymorph of the same formula (meV/atom) = 0
# - DOS at the Fermi energy (states/eV per atom) = 3.2018
# - calculated total energy (eV per cell) = -77.4
# - size of the total moment (μB/atom) = 2.334
# - crystal system = monoclinic